Here is crystalline Ca3VF at its relaxed geometry from Alexandria via LeMat-Bulk. Energies are from GGA+U.

Lattice parameters (Å, degrees): 5.8430 5.8430 5.8430 90.00 90.00 90.00
Each line ends with the local moment (μB).
Fractional positions:
Ca  0.0000  0.0000  0.5000  0.17
Ca  0.0000  0.5000  0.0000  0.17
Ca  0.5000  0.0000  0.0000  0.17
F  0.5000  0.5000  0.5000  0.02
V  0.0000  0.0000  0.0000  3.35

Properties
Uncorrected energy, Ry per atom: -0.20767